## one
Here is an optimized crystal structure of BeV2F from the Alexandria database. Energies are from PBE+U.

Calculated values
Its total magnetization is 1.367 μB/atom. Its density of states at the Fermi level is 1.3 states/eV/f.u.

Unit cell a=6.053 b=6.053 c=5.407 alpha=55.96 beta=55.96 gamma=90.00
Site moments in Bohr magnetons follow the coordinates.
Atoms (fractional coordinates):
1 Be 0.500 0.500 0.000  -0.07
2 Be 0.250 0.750 0.500  -0.07
3 V 0.664 0.125 0.250  2.51
4 V 0.086 0.625 0.250  2.51
5 V 0.375 0.336 0.750  2.51
6 V 0.875 0.914 0.750  2.51
7 F 0.000 0.000 0.000  0.03
8 F 0.750 0.250 0.500  0.03

***

## two
Here is an optimized crystal structure of BeV2F from the Alexandria database. Energies are from PBE+U.

Calculated values
Its total magnetization is 1.534 μB/atom. Its density of states at the Fermi level is 4.3 states/eV/f.u.

Unit cell a=4.290 b=4.290 c=4.290 alpha=60.00 beta=60.00 gamma=60.00
Site moments in Bohr magnetons follow the coordinates.
Atoms (fractional coordinates):
1 Be 0.000 0.000 0.000  0.04
2 V 0.250 0.250 0.250  2.60
3 V 0.750 0.750 0.750  2.60
4 F 0.500 0.500 0.500  0.03

***

Energetically preferred structure: one | next structure: +377 meV per atom

***

## one
Here is an optimized crystal structure of BeVF2 from the Alexandria database. Energies are from PBE+U.

Calculated values
Its total magnetization is 0.313 μB/atom. Its density of states at the Fermi level is 0.5 states/eV/f.u.

Unit cell a=7.891 b=7.891 c=7.891 alpha=20.16 beta=20.16 gamma=20.16
Site moments in Bohr magnetons follow the coordinates.
Atoms (fractional coordinates):
1 Be 0.000 0.000 0.000  0.00
2 V 0.500 0.500 0.500  1.14
3 F 0.892 0.892 0.892  0.02
4 F 0.108 0.108 0.108  0.02

***

## two
Here is an optimized crystal structure of BeVF2 from the Alexandria database. Energies are from PBE+U.

Calculated values
Its total magnetization is 0.748 μB/atom. Its density of states at the Fermi level is 2.5 states/eV/f.u.

Unit cell a=4.064 b=4.064 c=4.064 alpha=60.00 beta=60.00 gamma=60.00
Site moments in Bohr magnetons follow the coordinates.
Atoms (fractional coordinates):
1 Be 0.000 0.000 0.000  -0.10
2 V 0.500 0.500 0.500  2.87
3 F 0.250 0.250 0.250  -0.04
4 F 0.750 0.750 0.750  -0.04

***

Energetically preferred structure: one | next structure: +526 meV per atom

***

## one
Here is an optimized crystal structure of BeVF2 from the Alexandria database. Energies are from PBE+U.

Calculated values
Its total magnetization is 0.025 μB/atom. Its density of states at the Fermi level is 0.8 states/eV/f.u.

Unit cell a=10.040 b=10.040 c=10.040 alpha=14.59 beta=14.59 gamma=14.59
Atoms (fractional coordinates):
1 Be 0.500 0.500 0.500
2 V 0.000 0.000 0.000
3 F 0.864 0.864 0.864
4 F 0.136 0.136 0.136

***

## two
Here is an optimized crystal structure of BeVF2 from the Alexandria database. Energies are from PBE+U.

Calculated values
Its total magnetization is 1.033 μB/atom. Its density of states at the Fermi level is 1.5 states/eV/f.u.

Unit cell a=5.260 b=5.260 c=5.351 alpha=60.56 beta=60.56 gamma=90.00
Site moments in Bohr magnetons follow the coordinates.
Atoms (fractional coordinates):
1 Be 0.500 0.500 0.000  0.00
2 Be 0.250 0.750 0.500  0.00
3 V 0.000 0.000 0.000  3.26
4 V 0.750 0.250 0.500  3.26
5 F 0.375 0.125 0.250  0.03
6 F 0.375 0.625 0.250  0.03
7 F 0.375 0.625 0.750  0.03
8 F 0.875 0.625 0.750  0.03

***

Energetically preferred structure: two | next structure: +26 meV per atom

***

## one
Here is an optimized crystal structure of Be3WF from the Alexandria database. Energies are from PBE+U.

Calculated values
Its total magnetization is 0.000 μB/atom. Its density of states at the Fermi level is 1.7 states/eV/f.u.

Unit cell a=3.725 b=3.725 c=3.725 alpha=90.00 beta=90.00 gamma=90.00
Atoms (fractional coordinates):
1 Be 0.000 0.500 0.000
2 Be 0.000 0.000 0.500
3 Be 0.500 0.000 0.000
4 W 0.500 0.500 0.500
5 F 0.000 0.000 0.000

***

## two
Here is an optimized crystal structure of Be3WF from the Alexandria database. Energies are from PBE+U.

Calculated values
Its total magnetization is 0.905 μB/atom. Its density of states at the Fermi level is 3.2 states/eV/f.u.

Unit cell a=4.817 b=4.817 c=4.817 alpha=90.00 beta=90.00 gamma=90.00
Site moments in Bohr magnetons follow the coordinates.
Atoms (fractional coordinates):
1 Be 0.000 0.500 0.000  0.09
2 Be 0.000 0.000 0.500  0.00
3 Be 0.500 0.000 0.000  0.16
4 W 0.000 0.000 0.000  3.01
5 F 0.500 0.500 0.500  0.16

***

Energetically preferred structure: one | next structure: +1458 meV per atom

***

## one
Here is an optimized crystal structure of BeW2F from the Alexandria database. Energies are from PBE+U.

Calculated values
Its total magnetization is 0.000 μB/atom. Its density of states at the Fermi level is 1.6 states/eV/f.u.

Unit cell a=6.303 b=6.303 c=5.232 alpha=52.97 beta=52.97 gamma=90.00
Atoms (fractional coordinates):
1 Be 0.500 0.500 0.000
2 Be 0.250 0.750 0.500
3 W 0.658 0.125 0.250
4 W 0.092 0.625 0.250
5 W 0.375 0.342 0.750
6 W 0.875 0.908 0.750
7 F 0.000 0.000 0.000
8 F 0.750 0.250 0.500

***

## two
Here is an optimized crystal structure of BeW2F from the Alexandria database. Energies are from PBE+U.

Calculated values
Its total magnetization is 0.003 μB/atom. Its density of states at the Fermi level is 4.5 states/eV/f.u.

Unit cell a=4.171 b=4.171 c=4.171 alpha=60.00 beta=60.00 gamma=60.00
Atoms (fractional coordinates):
1 Be 0.000 0.000 0.000
2 W 0.250 0.250 0.250
3 W 0.750 0.750 0.750
4 F 0.500 0.500 0.500

***

Energetically preferred structure: two | next structure: +240 meV per atom